[1]
! Tb7Pm2Ho3 (PBE, optimized geometry); values from VASP
! calculated formation energy: 0.086 eV per atom
! uncorrected energy: -0.1673 Ha/atom
! magnetization: 0.0 μB per cell
! relative energy among the computed polymorphs: 12 meV per atom
! ρ: 8.1 g/cm3
&SYSTEM
  ibrav = 0, nat = 12, ntyp = 3
/
ATOMIC_SPECIES
Tb 158.93 Tb.upf
Pm 145.00 Pm.upf
Ho 164.93 Ho.upf
CELL_PARAMETERS angstrom
5.792 0.000 0.000
0.000 3.589 0.000
-1.183 0.000 18.702
ATOMIC_POSITIONS angstrom
Tb 0.000 0.000 0.000
Tb 0.841 1.794 3.301
Tb 0.859 1.794 10.047
Tb 0.844 0.000 16.039
Tb 3.764 0.000 2.663
Tb 3.749 1.794 8.654
Tb 3.767 1.794 15.401
Pm 0.871 1.794 13.188
Pm 3.738 1.794 5.514
Ho 0.835 0.000 6.906
Ho 2.896 1.794 0.000
Ho 3.773 0.000 11.796

=====

[2]
! RbBi2Te2 (PBE, optimized geometry); values from VASP
! uncorrected energy: -0.1220 Ha/atom
! magnetization: 0.0 μB per cell
! relative energy among the computed polymorphs: 0 meV per atom
! ρ: 6.3 g/cm3
! formation energy without anion corrections: -1.59 eV per formula unit
&SYSTEM
  ibrav = 0, nat = 5, ntyp = 3
/
ATOMIC_SPECIES
Rb 85.47 Rb.upf
Bi 208.98 Bi.upf
Te 127.60 Te.upf
CELL_PARAMETERS angstrom
-3.091 3.091 5.205
3.091 -3.091 5.205
3.091 3.091 -5.205
ATOMIC_POSITIONS angstrom
Rb 0.000 0.000 0.000
Bi 0.000 0.000 3.631
Bi 0.000 0.000 6.779
Te 3.091 0.000 2.602
Te 0.000 3.091 2.602

=====

[3]
! Rb2LaBr3Cl3 (PBE, optimized geometry); values from VASP
! uncorrected energy: -0.1355 Ha/atom
! magnetization: 1.1 μB per cell
! ρ: 3.7 g/cm3
! formation energy without anion corrections: -15.77 eV per formula unit
&SYSTEM
  ibrav = 0, nat = 9, ntyp = 4
/
ATOMIC_SPECIES
Rb 85.47 Rb.upf
La 138.91 La.upf
Br 79.90 Br.upf
Cl 35.45 Cl.upf
CELL_PARAMETERS angstrom
8.693 0.000 0.000
-4.346 7.528 0.000
0.000 0.000 4.476
ATOMIC_POSITIONS angstrom
Rb 0.000 5.019 0.000
Rb 4.346 2.509 0.000
La 0.000 0.000 2.238
Br -1.566 2.713 2.238
Br 3.132 0.000 2.238
Br 2.780 4.815 2.238
Cl -3.360 5.819 0.000
Cl 0.987 1.709 0.000
Cl 6.720 0.000 0.000

=====

[4]
! Cu2PCl (PBE, optimized geometry); values from VASP
! uncorrected energy: -0.1326 Ha/atom
! magnetization: 0.6 μB per cell
! relative energy among the computed polymorphs: 348 meV per atom
! ρ: 3.9 g/cm3
! formation energy without anion corrections: 1.01 eV per formula unit
&SYSTEM
  ibrav = 0, nat = 4, ntyp = 3
/
ATOMIC_SPECIES
Cu 63.55 Cu.upf
P 30.97 P.upf
Cl 35.45 Cl.upf
CELL_PARAMETERS angstrom
-1.662 1.662 7.536
1.662 -1.662 7.536
1.662 1.662 -7.536
ATOMIC_POSITIONS angstrom
Cu 0.000 0.000 0.000
Cu 0.000 1.662 3.768
P 1.662 0.000 3.768
Cl 0.000 0.000 7.536

=====

[5]
! Ba5GaAg2 (PBE, optimized geometry); values from VASP
! calculated formation energy: -0.215 eV per atom
! uncorrected energy: -0.0921 Ha/atom
! magnetization: 0.0 μB per cell
! ρ: 4.9 g/cm3
&SYSTEM
  ibrav = 0, nat = 16, ntyp = 3
/
ATOMIC_SPECIES
Ba 137.33 Ba.upf
Ga 69.72 Ga.upf
Ag 107.87 Ag.upf
CELL_PARAMETERS angstrom
-4.483 4.483 8.241
4.483 -4.483 8.241
4.483 4.483 -8.241
ATOMIC_POSITIONS angstrom
Ba 0.000 0.000 0.000
Ba 6.044 1.562 -2.391
Ba 1.562 2.921 -2.391
Ba 6.044 1.562 2.391
Ba 1.562 2.921 2.391
Ba 0.000 0.000 8.241
Ba 2.921 1.562 5.850
Ba -1.562 2.921 5.850
Ba 2.921 1.562 10.632
Ba -1.562 2.921 10.632
Ga 0.000 0.000 4.120
Ga 0.000 0.000 12.361
Ag 3.448 1.035 0.000
Ag 3.448 -1.035 8.241
Ag 1.035 5.517 0.000
Ag 1.035 3.448 8.241

=====

[6]
! LaScTe (PBE, optimized geometry); values from VASP
! uncorrected energy: -0.2046 Ha/atom
! magnetization: 0.0 μB per cell
! relative energy among the computed polymorphs: 194 meV per atom
! ρ: 6.0 g/cm3
! formation energy without anion corrections: -2.30 eV per formula unit
&SYSTEM
  ibrav = 0, nat = 3, ntyp = 3
/
ATOMIC_SPECIES
La 138.91 La.upf
Sc 44.96 Sc.upf
Te 127.60 Te.upf
CELL_PARAMETERS angstrom
-1.926 1.926 5.800
1.926 -1.926 5.800
1.926 1.926 -5.800
ATOMIC_POSITIONS angstrom
La 0.000 0.000 0.000
Sc 0.000 0.000 8.000
Te 0.000 0.000 3.501

=====

[7]
! Dy2ZnCu2Pt5 (PBE, optimized geometry); values from VASP
! calculated formation energy: -0.797 eV per atom
! uncorrected energy: -0.2089 Ha/atom
! magnetization: 0.0 μB per cell
! ρ: 14.6 g/cm3
&SYSTEM
  ibrav = 0, nat = 20, ntyp = 4
/
ATOMIC_SPECIES
Dy 162.50 Dy.upf
Zn 65.41 Zn.upf
Cu 63.55 Cu.upf
Pt 195.08 Pt.upf
CELL_PARAMETERS angstrom
9.335 0.000 0.000
0.000 9.335 0.000
0.000 0.000 3.885
ATOMIC_POSITIONS angstrom
Dy 1.636 3.032 0.000
Dy 3.032 7.699 0.000
Dy 6.303 1.636 0.000
Dy 7.699 6.303 0.000
Zn 0.000 0.000 0.000
Zn 4.668 4.668 0.000
Cu 1.147 5.815 0.000
Cu 3.521 1.147 0.000
Cu 5.815 8.188 0.000
Cu 8.188 3.521 0.000
Pt 0.000 4.668 1.942
Pt 0.646 7.441 1.942
Pt 1.894 0.646 1.942
Pt 2.774 5.314 1.942
Pt 4.021 2.774 1.942
Pt 4.668 0.000 1.942
Pt 5.314 6.562 1.942
Pt 6.562 4.021 1.942
Pt 7.441 8.689 1.942
Pt 8.689 1.894 1.942

=====

[8]
! Pm5Sm5Ho2 (PBE, optimized geometry); values from VASP
! calculated formation energy: 0.015 eV per atom
! uncorrected energy: -0.1725 Ha/atom
! magnetization: 0.0 μB per cell
! ρ: 7.5 g/cm3
&SYSTEM
  ibrav = 0, nat = 12, ntyp = 3
/
ATOMIC_SPECIES
Pm 145.00 Pm.upf
Sm 150.36 Sm.upf
Ho 164.93 Ho.upf
CELL_PARAMETERS angstrom
7.688 -2.557 0.000
7.688 2.557 0.000
-5.135 0.000 10.239
ATOMIC_POSITIONS angstrom
Pm 0.000 0.000 0.000
Pm -2.579 0.000 7.678
Pm -0.002 0.000 5.120
Pm 10.243 0.000 5.120
Pm 12.820 0.000 2.561
Sm 2.545 0.000 2.547
Sm 5.133 0.000 0.001
Sm 5.120 0.000 5.120
Sm 5.108 0.000 10.238
Sm 7.695 0.000 7.692
Ho 2.553 0.000 7.677
Ho 7.688 0.000 2.562